Material: KIn2Rh
Method: DFT, PBE-GGA
State: relaxed

The structure in POSCAR format:
```
KIn2Rh
1.0
-2.656 1.695 4.024
-4.421 -1.265 -2.231
3.717 -3.458 0.587
In K Rh
2 1 1
Direct
0.000 0.000 0.000
0.250 0.750 0.500
0.500 0.500 0.000
0.750 0.250 0.500
```

**Magnetization**: 0.000 μB per formula unit
**VASP energy**: -12.707 eV per cell